VASP calculation (PBE-GGA) on a geometry-optimized Pm2EuNb structure.

Properties
ΔH_f (0 K) (eV per atom): 0.634
Symmetry: No. 166
Size of the total moment (Bohr magnetons per cell): 7.312
Crystal system: trigonal

abc: 3.349 3.349 12.370
angles: 82.22 82.22 60.00
Last column: magnetic moment on the atom in μB.
Fractional coordinates of all 4 atoms:
Eu  0.500  0.500  0.500  7.01
Nb  0.000  0.000  0.000  -0.10
Pm  0.080  0.080  0.761  0.00
Pm  0.920  0.920  0.239  0.00

=====

VASP calculation (PBE-GGA) on a geometry-optimized K2SiNi structure.

Properties
E_form (uncorrected) (meV/atom): 879.0
Symmetry: No. 166
Size of the total moment (Bohr magnetons per cell): 0.411
Crystal system: trigonal

abc: 11.033 11.033 11.033
angles: 16.48 16.48 16.48
Last column: magnetic moment on the atom in μB.
Fractional coordinates of all 4 atoms:
K  0.996  0.996  0.996  0.01
K  0.504  0.504  0.504  0.01
Ni  0.250  0.250  0.250  0.16
Si  0.750  0.750  0.750  0.07

=====

VASP calculation (PBE-GGA) on a geometry-optimized Pm4Pr3Th structure.

Properties
ΔH_f (0 K) (eV per atom): 0.216
Symmetry: No. 12
Size of the total moment (Bohr magnetons per cell): 0.000
Crystal system: monoclinic

abc: 3.512 6.317 12.945
angles: 95.62 97.80 90.00
Fractional coordinates of all 8 atoms:
Pr  0.000  0.500  0.000
Pr  0.143  0.762  0.286
Pr  0.857  0.238  0.714
Th  0.500  0.000  0.000
Pm  0.723  0.236  0.445
Pm  0.277  0.764  0.555
Pm  0.106  0.243  0.212
Pm  0.894  0.757  0.788

=====

VASP calculation (PBE-GGA) on a geometry-optimized ZnCu2Te structure.

Properties
E_form (uncorrected) (meV/atom): 109.2
Symmetry: No. 12
Size of the total moment (Bohr magnetons per cell): 0.000
E above lowest polymorph (eV per atom): 0.024
Crystal system: monoclinic

abc: 4.313 4.313 5.821
angles: 81.84 81.84 41.01
Fractional coordinates of all 4 atoms:
Cu  0.987  0.987  0.072
Cu  0.513  0.513  0.428
Te  0.750  0.750  0.750
Zn  0.250  0.250  0.250

=====

VASP calculation (PBE-GGA) on a geometry-optimized NbInSe2 structure.

Properties
E_form (uncorrected) (meV/atom): -605.6
Symmetry: No. 160
Size of the total moment (Bohr magnetons per cell): 0.000
Crystal system: trigonal

abc: 3.440 3.440 9.439
angles: 79.50 79.50 60.00
Fractional coordinates of all 4 atoms:
Nb  0.667  0.667  0.000
In  0.500  0.500  0.499
Se  0.062  0.062  0.814
Se  0.271  0.271  0.187

=====

VASP calculation (PBE-GGA) on a geometry-optimized YCdSe3 structure.

Properties
E_form (uncorrected) (meV/atom): -397.9
Symmetry: No. 221
Size of the total moment (Bohr magnetons per cell): 0.000
E above lowest polymorph (eV per atom): 0.000
Crystal system: cubic

abc: 5.474 5.474 5.474
angles: 90.00 90.00 90.00
Fractional coordinates of all 5 atoms:
Y  0.000  0.000  0.000
Se  0.000  0.500  0.000
Se  0.000  0.000  0.500
Se  0.500  0.000  0.000
Cd  0.500  0.500  0.500